SmCu after structural relaxation, computed with PBE.

Values from the calculation:
Crystal system: cubic
Energy in eV/atom: -4.59
ΔH_f (0 K) in eV per atom: -0.18
Space group: Pm-3m (221)

a b c (Å): 3.544 3.544 3.544
angles (deg): 90.00 90.00 90.00
Element x y z (fractional)
Cu 0.500 0.500 0.500
Sm 0.000 0.000 0.000